(1)
{"formula": "Ti2BeGeH", "functional": "PBE", "state": "relaxed", "dft_energy_ev_per_cell": -29.1, "lattice": [[3.901, 0.000, 0.000], [0.000, 3.901, 0.000], [0.000, 0.000, 3.808]], "species": ["Ti", "Ti", "Be", "Ge", "H"], "fractional_positions": [[0.000, 0.500, 0.000], [0.500, 0.000, 0.000], [0.000, 0.000, 0.500], [0.500, 0.500, 0.500], [0.000, 0.000, 0.000]]}


(2)
{"formula": "ErPdO2", "functional": "PBE", "state": "relaxed", "dft_energy_ev_per_cell": -27.2, "polymorph_energy_ev_per_atom": 0.298, "e_form_raw_ev_per_fu": -7.6, "lattice": [[1.738, 1.004, 5.174], [-1.738, 1.004, 5.174], [0.000, -2.007, 5.174]], "species": ["Er", "Pd", "O", "O"], "fractional_positions": [[0.000, 0.000, 0.000], [0.500, 0.500, 0.500], [0.265, 0.265, 0.265], [0.735, 0.735, 0.735]]}


(3)
{"formula": "LiEr3", "functional": "PBE", "state": "relaxed", "ef_ev_per_fu": 0.73, "dft_energy_ev_per_cell": -29.8, "polymorph_energy_ev_per_atom": 0.103, "lattice": [[6.941, 0.000, 0.000], [-3.470, 6.011, 0.000], [0.000, 0.000, 5.470]], "species": ["Li", "Li", "Er", "Er", "Er", "Er", "Er", "Er"], "fractional_positions": [[0.333, 0.667, 0.250], [0.667, 0.333, 0.750], [0.168, 0.336, 0.750], [0.168, 0.832, 0.750], [0.336, 0.168, 0.250], [0.664, 0.832, 0.750], [0.832, 0.168, 0.250], [0.832, 0.664, 0.250]]}


(4)
{"formula": "Dy7YIn2", "functional": "PBE", "state": "relaxed", "ef_ev_per_fu": 3.47, "dft_energy_ev_per_cell": -40.7, "lattice": [[4.561, -7.743, 0.000], [4.561, 7.743, 0.000], [0.000, 0.000, 5.390]], "species": ["Dy", "Dy", "Dy", "Dy", "Dy", "Dy", "Dy", "Y", "In", "In"], "fractional_positions": [[0.000, 0.000, 0.000], [0.198, 0.440, 0.000], [0.272, 0.728, 0.500], [0.440, 0.198, 0.000], [0.560, 0.802, 0.000], [0.728, 0.272, 0.500], [0.802, 0.560, 0.000], [0.500, 0.500, 0.500], [0.196, 0.804, 0.000], [0.804, 0.196, 0.000]]}


- What is the formula in the first record?
  Ti2BeGeH